Entry 1:
Entry from the Alexandria database: a relaxed GaRhNF2 crystal (PBE).

Cell: 4.4635 4.4635 3.6736 Å, 90.00 90.00 90.00°
Closest atoms and distances in Å follow each position.
Atoms (fractional coordinates):
Ga1 0.0000 0.0000 0.0000  8 F 2.89, 4 N 3.16
Rh1 0.5000 0.5000 0.5000  2 N 1.84
N1 0.5000 0.5000 0.0000  2 Rh 1.84
F1 0.0000 0.5000 0.5000  2 Rh 2.23
F2 0.5000 0.0000 0.5000  2 Rh 2.23

## Properties
final energy = -5.022 eV/atom
D(E_F) = 1.76 states/eV/cell
total magnetization = 0.03 μB/cell
raw formation energy = -12.28 kcal/mol of atoms

=====

Entry 2:
Entry from the Alexandria database: a relaxed GaRhNF2 crystal (PBE).

Cell: 3.8077 3.8077 4.1114 Å, 90.00 90.00 90.00°
Closest atoms and distances in Å follow each position.
Atoms (fractional coordinates):
Ga1 0.0000 0.0000 0.0000  4 F 1.90, 2 N 2.06
Rh1 0.5000 0.5000 0.5000  4 N 2.69, 8 F 2.80
N1 0.0000 0.0000 0.5000  2 Ga 2.06
F1 0.0000 0.5000 0.0000  2 Ga 1.90
F2 0.5000 0.0000 0.0000  2 Ga 1.90

## Properties
final energy = -4.788 eV/atom
D(E_F) = 5.79 states/eV/cell
total magnetization = 1.85 μB/cell
raw formation energy = -6.88 kcal/mol of atoms